A relaxed PW2O crystal. Source: Alexandria, functional PBE with a Hubbard U.

Unit cell a=5.9467 b=5.9467 c=5.9467 alpha=90.00 beta=90.00 gamma=90.00
Last column: nearest neighbours and their distance in Å.
Space group Fm-3m (No. 225)
Unique sites:
P  0.0000  0.0000  0.0000  8 W 2.57
W  0.2500  0.2500  0.2500  4 O 2.57, 4 P 2.57
O  0.0000  0.0000  0.5000  8 W 2.57

Fermi-level density of states in states/eV per cell: 5.30
Total energy in eV per atom: -5.8110